{"formula": "DyZrAs", "functional": "PBE", "state": "optimized geometry", "dft_energy_ev_per_cell": -19.59, "cell": [[0.0000, 3.3079, 3.3079], [3.3079, 0.0000, 3.3079], [3.3079, 3.3079, 0.0000]], "species": ["Dy", "Zr", "As"], "frac_coords": [[0.0000, 0.0000, 0.0000], [0.5000, 0.5000, 0.5000], [0.2500, 0.2500, 0.2500]]}